DFT (PBE) results for a relaxed structure of BaEu3Se.

magnetization = 4.62 μB/atom
total energy = -0.5791 Ry per atom

Lattice parameters (Å, degrees): 6.0095 6.0095 6.0095 90.00 90.00 90.00
Site moments in Bohr magnetons follow the coordinates.
Element x y z (fractional)
Eu  0.0000  0.5000  0.0000  6.99
Eu  0.5000  0.0000  0.0000  6.99
Eu  0.0000  0.0000  0.5000  6.99
Se  0.0000  0.0000  0.0000  -0.04
Ba  0.5000  0.5000  0.5000  0.17